Compound: BaCoO3
Source: Alexandria via LeMat-Bulk
Functional: PBE with a Hubbard U
Structure: optimized geometry

- N(E_F): 0.376 states/eV/atom
- Total magnetic moment: 4.00 μB/cell
- Total DFT energy (no corrections): -118.65 eV/cell

extended XYZ file:
```
20
Lattice="5.663 0.000 0.000 -2.832 4.905 0.000 0.000 0.000 9.225" Properties=species:S:1:pos:R:3 pbc="T T T"
O 2.832 0.000 0.000
O 4.044 0.935 2.306
Co 0.000 3.270 8.177
Co 2.832 1.635 1.048
O 2.832 0.000 4.612
O -1.416 2.452 4.612
Ba 0.000 0.000 0.000
Co 0.000 3.270 5.660
O 0.000 1.870 6.919
O -1.212 3.970 6.919
Ba 2.832 1.635 6.919
Co 2.832 1.635 3.565
O 1.619 0.935 2.306
O 1.212 3.970 6.919
O -1.416 2.452 0.000
Ba 0.000 0.000 4.612
Ba 0.000 3.270 2.306
O 1.416 2.452 4.612
O 1.416 2.452 0.000
O 2.832 3.035 2.306
```